# Tb4Pm2Ho2Mg (PBE-GGA, optimized geometry)
data_Tb4Pm2Ho2Mg
_space_group_name_H-M_alt 'P 1'
_space_group_IT_number 1
_cell_length_a 6.6138
_cell_length_b 6.9534
_cell_length_c 7.5251
_cell_angle_alpha 88.41
_cell_angle_beta 73.71
_cell_angle_gamma 63.02
loop_
_space_group_symop_operation_xyz
'x,y,z'
loop_
_atom_site_label
_atom_site_type_symbol
_atom_site_fract_x
_atom_site_fract_y
_atom_site_fract_z
Tb1 Tb 0.0071 0.1280 0.2820
Tb2 Tb 0.0980 0.6443 0.1034
Tb3 Tb 0.9020 0.3557 0.8966
Tb4 Tb 0.9929 0.8720 0.7180
Pm1 Pm 0.4714 0.3252 0.6787
Pm2 Pm 0.5286 0.6748 0.3213
Ho1 Ho 0.4642 0.8439 0.8511
Ho2 Ho 0.5358 0.1561 0.1489
Mg1 Mg 0.0000 0.5000 0.5000
# - Energy of formation: 0.137 eV per atom



# Ho2ErSi2 (PBE-GGA, optimized geometry)
data_Ho2ErSi2
_space_group_name_H-M_alt 'P 1'
_space_group_IT_number 1
_cell_length_a 6.3958
_cell_length_b 6.3958
_cell_length_c 10.2869
_cell_angle_alpha 115.09
_cell_angle_beta 115.09
_cell_angle_gamma 39.09
loop_
_space_group_symop_operation_xyz
'x,y,z'
loop_
_atom_site_label
_atom_site_type_symbol
_atom_site_fract_x
_atom_site_fract_y
_atom_site_fract_z
Ho1 Ho 0.0166 0.0166 0.1881
Ho2 Ho 0.1814 0.1814 0.5877
Ho3 Ho 0.8186 0.8186 0.4123
Ho4 Ho 0.9834 0.9834 0.8119
Er1 Er 0.2796 0.2796 0.1390
Er2 Er 0.7204 0.7204 0.8610
Si1 Si 0.3882 0.3882 0.9392
Si2 Si 0.4773 0.4773 0.6042
Si3 Si 0.5227 0.5227 0.3958
Si4 Si 0.6118 0.6118 0.0608
# - Excess energy over the best structure of this formula in the dataset: 104.2 meV/atom
# - Raw formation energy: -607.9 meV/atom



# YScAu2 (PBE-GGA, optimized geometry)
data_YScAu2
_space_group_name_H-M_alt 'P 1'
_space_group_IT_number 1
_cell_length_a 3.4989
_cell_length_b 4.9724
_cell_length_c 4.9786
_cell_angle_alpha 90.00
_cell_angle_beta 90.00
_cell_angle_gamma 90.00
loop_
_space_group_symop_operation_xyz
'x,y,z'
loop_
_atom_site_label
_atom_site_type_symbol
_atom_site_fract_x
_atom_site_fract_y
_atom_site_fract_z
Y1 Y 0.0000 0.0000 0.0000
Sc1 Sc 0.0000 0.5000 0.4940
Au1 Au 0.5000 0.0000 0.5021
Au2 Au 0.5000 0.5000 0.9858
# - Energy of formation: -0.806 eV per atom
# - Excess energy over the best structure of this formula in the dataset: 21.4 meV/atom



# Mg3PdPb (PBE-GGA, optimized geometry)
data_Mg3PdPb
_space_group_name_H-M_alt 'P 1'
_space_group_IT_number 1
_cell_length_a 8.9194
_cell_length_b 3.1304
_cell_length_c 7.8696
_cell_angle_alpha 90.00
_cell_angle_beta 90.00
_cell_angle_gamma 90.00
loop_
_space_group_symop_operation_xyz
'x,y,z'
loop_
_atom_site_label
_atom_site_type_symbol
_atom_site_fract_x
_atom_site_fract_y
_atom_site_fract_z
Mg1 Mg 0.0483 0.0000 0.2198
Mg2 Mg 0.2500 0.0000 0.5569
Mg3 Mg 0.4517 0.0000 0.2198
Mg4 Mg 0.5483 0.0000 0.7802
Mg5 Mg 0.7500 0.0000 0.4431
Mg6 Mg 0.9517 0.0000 0.7802
Pd1 Pd 0.0000 0.5000 0.5000
Pd2 Pd 0.5000 0.5000 0.5000
Pb1 Pb 0.2500 0.5000 0.9433
Pb2 Pb 0.7500 0.5000 0.0567
# - Energy of formation: -0.330 eV per atom
# - Excess energy over the best structure of this formula in the dataset: 0.0 meV/atom